{
  "formula": "Ho4CoGe3",
  "functional": "GGA-PBE",
  "state": "relaxed",
  "lattice": [[-0.807, 0.450, -4.059], [-0.095, -3.934, -0.417], [-10.409, 0.032, 2.073]],
  "species": ["Ho", "Ho", "Ho", "Ho", "Ge", "Ge", "Ge", "Co"],
  "fractional_positions": [[0.000, 0.000, 0.135], [0.500, 0.000, 0.642], [0.000, 0.500, 0.868], [0.500, 0.500, 0.349], [0.500, 0.000, 0.927], [0.000, 0.000, 0.420], [0.000, 0.500, 0.585], [0.500, 0.500, 0.073]],
  "crystal_system": "orthorhombic",
  "energy_ev_per_atom": -5.597,
  "space_group": "Pmm2 (25)",
  "mass_density_g_cm3": 8.89
}